A relaxed AcLuMgPd crystal. Source: Alexandria via LeMat-Bulk, functional PBE-GGA.

CIF file:
```
data_AcLuMgPd
_chemical_formula_sum 'Ac4 Lu4 Mg4 Pd4'
_symmetry_space_group_name_H-M 'F -4 3 m'
_symmetry_Int_Tables_number 216
_symmetry_space_group_name_Hall 'F -4 2 3'
_cell_length_a 7.540
_cell_length_b 7.540
_cell_length_c 7.540
_cell_angle_alpha 90.00
_cell_angle_beta 90.00
_cell_angle_gamma 90.00
loop_
_atom_site_label
_atom_site_type_symbol
_atom_site_fract_x
_atom_site_fract_y
_atom_site_fract_z
Ac1 Ac 0.000 0.000 0.000
Lu1 Lu 0.000 0.000 0.500
Mg1 Mg 0.250 0.250 0.750
Pd1 Pd 0.250 0.250 0.250
```

Results
The spin magnetization is 0.00 μB per atom. The density of states at the Fermi level comes out at 0.84 states/eV/atom. The formation energy from the elements is -298 meV/atom.

***

A relaxed NbAsPdSe2 crystal. Source: Alexandria via LeMat-Bulk, functional PBE-GGA.

CIF file:
```
data_NbAsPdSe2
_chemical_formula_sum 'Nb1 As1 Pd1 Se2'
_symmetry_space_group_name_H-M 'P 4/m m m'
_symmetry_Int_Tables_number 123
_symmetry_space_group_name_Hall '-P 4 2'
_cell_length_a 4.860
_cell_length_b 4.860
_cell_length_c 4.740
_cell_angle_alpha 90.00
_cell_angle_beta 90.00
_cell_angle_gamma 90.00
loop_
_atom_site_label
_atom_site_type_symbol
_atom_site_fract_x
_atom_site_fract_y
_atom_site_fract_z
Nb1 Nb 0.000 0.000 0.000
As1 As 0.500 0.500 0.000
Pd1 Pd 0.500 0.500 0.500
Se1 Se 0.000 0.500 0.500
```

Results
The spin magnetization is 0.00 μB per atom. The density of states at the Fermi level comes out at 1.48 states/eV/atom. The calculation puts the uncorrected formation energy at 0.72 eV per atom.

***

Computed volume, in the same sequence as the records: 26.79, 22.39 Å³/atom.